First-principles (PBE-GGA) data for a relaxed NaNbC crystal, as listed in Alexandria via LeMat-Bulk.

Results
- DFT formation energy (eV per formula unit) = -0.4
- magnetic moment (μB per cell) = 0.00
- volume (Å³/atom) = 17.50

```
NaNbC
1.0
2.235 -2.235 0.000
2.235 2.235 0.000
-0.081 0.000 10.511
Na Nb C
2 2 2
Direct
0.247 0.247 0.147
0.753 0.753 0.853
0.252 0.252 0.600
0.748 0.748 0.400
0.248 0.248 0.394
0.752 0.752 0.606
```

---

First-principles (PBE-GGA) data for a relaxed Na2Nb2C crystal, as listed in Alexandria via LeMat-Bulk.

Results
- DFT formation energy (eV per formula unit) = 6.1
- energy above the most stable polymorph in this dataset (meV per atom) = 785
- magnetic moment (μB per cell) = 0.00
- volume (Å³/atom) = 16.45

```
Na2Nb2C
1.0
-1.567 1.567 8.378
1.567 -1.567 8.378
1.567 1.567 -8.378
Na Nb C
2 2 1
Direct
0.250 0.750 0.500
0.750 0.250 0.500
0.074 0.074 0.000
0.926 0.926 0.000
0.500 0.500 0.000
```

---

First-principles (PBE-GGA) data for a relaxed NaNbC2 crystal, as listed in Alexandria via LeMat-Bulk.

Results
- DFT formation energy (eV per formula unit) = 3.8
- energy above the most stable polymorph in this dataset (meV per atom) = 0
- magnetic moment (μB per cell) = 0.00
- volume (Å³/atom) = 19.17

```
NaNbC2
1.0
-2.790 2.790 4.926
2.790 -2.790 4.926
2.790 2.790 -4.926
Na Nb C
2 2 4
Direct
0.000 0.000 0.000
0.750 0.250 0.500
0.250 0.750 0.500
0.500 0.500 0.000
0.230 0.625 0.105
0.375 0.480 0.605
0.520 0.125 0.895
0.875 0.770 0.395
```

---

First-principles (PBE-GGA) data for a relaxed NaNb2C crystal, as listed in Alexandria via LeMat-Bulk.

Results
- DFT formation energy (eV per formula unit) = 3.9
- magnetic moment (μB per cell) = 0.00
- volume (Å³/atom) = 22.73

```
NaNb2C
1.0
-2.996 2.996 5.067
2.996 -2.996 5.067
2.996 2.996 -5.067
Na Nb C
2 4 2
Direct
0.000 0.000 0.000
0.750 0.250 0.500
0.294 0.625 0.169
0.375 0.544 0.669
0.456 0.125 0.831
0.875 0.706 0.331
0.250 0.750 0.500
0.500 0.500 0.000
```

---

First-principles (PBE-GGA) data for a relaxed Na2Nb2C crystal, as listed in Alexandria via LeMat-Bulk.

Results
- DFT formation energy (eV per formula unit) = 2.2
- energy above the most stable polymorph in this dataset (meV per atom) = 0
- magnetic moment (μB per cell) = 0.00
- volume (Å³/atom) = 19.86

```
Na2Nb2C
1.0
5.792 0.000 0.000
0.000 5.792 0.000
0.000 0.000 5.920
Na Nb C
4 4 2
Direct
0.178 0.322 0.000
0.322 0.822 0.000
0.678 0.178 0.000
0.822 0.678 0.000
0.164 0.664 0.500
0.336 0.164 0.500
0.664 0.836 0.500
0.836 0.336 0.500
0.000 0.000 0.500
0.500 0.500 0.500
```

---

First-principles (PBE-GGA) data for a relaxed Na2NbC crystal, as listed in Alexandria via LeMat-Bulk.

Results
- DFT formation energy (eV per formula unit) = 4.2
- magnetic moment (μB per cell) = 4.04
- volume (Å³/atom) = 25.29

```
Na2NbC
1.0
-4.955 4.955 2.060
4.955 -4.955 2.060
4.955 4.955 -2.060
Na Nb C
4 2 2
Direct
0.375 0.225 0.350
0.775 0.125 0.150
0.875 0.025 0.650
0.975 0.625 0.850
0.250 0.750 0.500
0.500 0.500 0.000
0.000 0.000 0.000
0.750 0.250 0.500
```

---

First-principles (PBE-GGA) data for a relaxed NaNbC2 crystal, as listed in Alexandria via LeMat-Bulk.

Results
- DFT formation energy (eV per formula unit) = 5.7
- energy above the most stable polymorph in this dataset (meV per atom) = 477
- magnetic moment (μB per cell) = 0.00
- volume (Å³/atom) = 11.08

```
NaNbC2
1.0
0.000 2.809 2.809
2.809 0.000 2.809
2.809 2.809 0.000
Na Nb C
1 1 2
Direct
0.000 0.000 0.000
0.500 0.500 0.500
0.250 0.250 0.250
0.750 0.750 0.750
```

---

First-principles (PBE-GGA) data for a relaxed NaZr2NbC crystal, as listed in Alexandria via LeMat-Bulk.

Results
- DFT formation energy (eV per formula unit) = 9.9
- magnetic moment (μB per cell) = 0.00
- volume (Å³/atom) = 19.14

```
NaZr2NbC
1.0
4.952 0.000 0.000
0.000 4.952 0.000
0.000 0.000 3.903
Na Zr Nb C
1 2 1 1
Direct
0.000 0.000 0.000
0.000 0.500 0.000
0.500 0.000 0.000
0.500 0.500 0.500
0.000 0.000 0.500
```

---

First-principles (PBE-GGA) data for a relaxed NaNdC crystal, as listed in Alexandria via LeMat-Bulk.

Results
- DFT formation energy (eV per formula unit) = 1.3
- magnetic moment (μB per cell) = 0.00
- volume (Å³/atom) = 23.61

```
NaNdC
1.0
1.980 1.143 10.436
-1.980 1.143 10.436
0.000 -2.286 10.436
Na Nd C
2 2 2
Direct
0.000 0.000 0.000
0.416 0.416 0.416
0.258 0.258 0.258
0.824 0.824 0.824
0.129 0.129 0.129
0.621 0.621 0.621
```

---

First-principles (PBE-GGA) data for a relaxed NaNd3C crystal, as listed in Alexandria via LeMat-Bulk.

Results
- DFT formation energy (eV per formula unit) = 0.8
- magnetic moment (μB per cell) = 0.00
- volume (Å³/atom) = 28.93

```
NaNd3C
1.0
5.249 0.000 0.000
0.000 5.249 0.000
0.000 0.000 5.249
Na Nd C
1 3 1
Direct
0.000 0.000 0.000
0.000 0.500 0.500
0.500 0.000 0.500
0.500 0.500 0.000
0.500 0.500 0.500
```

---

First-principles (PBE-GGA) data for a relaxed Na3NdC4O12 crystal, as listed in Alexandria via LeMat-Bulk.

Results
- magnetic moment (μB per cell) = 2.03
- volume (Å³/atom) = 13.26
- formation energy (no corrections) (meV per atom) = -1703

```
Na3NdC4O12
1.0
5.040 2.910 3.014
-5.040 2.910 3.014
0.000 -5.819 3.014
Na Nd C O
3 1 4 12
Direct
0.000 0.529 0.471
0.471 0.000 0.529
0.529 0.471 0.000
0.000 0.000 0.000
0.029 0.500 0.971
0.500 0.500 0.500
0.500 0.971 0.029
0.971 0.029 0.500
0.036 0.639 0.852
0.097 0.903 0.500
0.148 0.361 0.964
0.361 0.964 0.148
0.373 0.627 0.500
0.500 0.097 0.903
0.500 0.373 0.627
0.627 0.500 0.373
0.639 0.852 0.036
0.852 0.036 0.639
0.903 0.500 0.097
0.964 0.148 0.361
```

---

First-principles (PBE-GGA) data for a relaxed NaNdPCO7 crystal, as listed in Alexandria via LeMat-Bulk.

Results
- magnetic moment (μB per cell) = 2.00
- volume (Å³/atom) = 16.45
- formation energy (no corrections) (meV per atom) = -2162

```
NaNdPCO7
1.0
4.929 0.000 0.000
0.000 7.195 0.000
-0.224 0.000 10.207
Na Nd P C O
2 2 2 2 14
Direct
0.203 0.000 0.279
0.797 0.500 0.721
0.223 0.129 0.864
0.777 0.629 0.136
0.314 0.636 0.920
0.686 0.136 0.080
0.278 0.213 0.575
0.722 0.713 0.425
0.041 0.224 0.627
0.191 0.459 0.858
0.211 0.810 0.848
0.246 0.644 0.071
0.308 0.189 0.454
0.370 0.125 0.082
0.480 0.225 0.658
0.520 0.725 0.342
0.630 0.625 0.918
0.692 0.689 0.546
0.754 0.144 0.929
0.789 0.310 0.152
0.809 0.959 0.142
0.959 0.724 0.373
```

---

> volume of number 3 (NaNbC2)?

19.17 Å³/atom

---

> volume of number 8 (NaZr2NbC)?

19.14 Å³/atom

---

> magnetic moment of number 3 (NaNbC2)?

0.00 μB per cell